## Np2UMnS5 (GGA-PBE)

Data for a geometry-optimized Np2UMnS5 structure.

- E_tot (eV per formula unit) = -77.8
- formation energy from raw total energies (eV per atom) = -1.20
- SG = Cmc2_1

Cell lengths 8.249, 8.249, 11.922 Å; angles 90.00, 90.00, 154.23 degrees
Atoms (fractional coordinates):
Np 0.115 0.885 0.500
Np 0.120 0.880 0.846
Np 0.880 0.120 0.346
Np 0.885 0.115 0.000
U 0.181 0.819 0.171
U 0.819 0.181 0.671
Mn 0.445 0.555 0.571
Mn 0.555 0.445 0.071
S 0.012 0.988 0.168
S 0.310 0.690 0.837
S 0.311 0.689 0.503
S 0.346 0.654 0.170
S 0.497 0.503 0.901
S 0.503 0.497 0.401
S 0.654 0.346 0.670
S 0.689 0.311 0.003
S 0.690 0.310 0.337
S 0.988 0.012 0.668